Density functional theory data (PBE+U) for a relaxed SmEuFe2O6 crystal.

Calculated values
offset from the most stable computed form: 4.7 meV per atom
N(E_F): 1.41 states/eV/atom

Cell lengths 5.5169, 5.5169, 3.9025 Å; angles 90.00, 90.00, 90.00 degrees
Sites, in units of the cell vectors:
1 Sm 0.0000 0.0000 0.0000
2 Eu 0.5000 0.5000 0.0000
3 Fe 0.0000 0.5000 0.5000
4 Fe 0.5000 0.0000 0.5000
5 O 0.0000 0.5000 0.0000
6 O 0.2428 0.2428 0.5000
7 O 0.2428 0.7572 0.5000
8 O 0.5000 0.0000 0.0000
9 O 0.7572 0.2428 0.5000
10 O 0.7572 0.7572 0.5000